Computed, not measured: a geometry-optimized SmYZnHg structure at the PBE level of DFT.

The structure in extended XYZ format:
```
4
Lattice="3.6461 0.0000 0.0000 0.0000 3.6461 0.0000 0.0000 0.0000 7.5297" Properties=species:S:1:pos:R:3 pbc="T T T"
Sm 0.0000 0.0000 0.0000
Y 0.0000 0.0000 3.5141
Zn 1.8230 1.8230 1.8260
Hg 1.8230 1.8230 5.4489
```

Computed properties:
formation energy from the elements: -0.42 eV per atom
total magnetization: 0.0 μB per formula unit
distance to the lowest polymorph of the same formula: 0 meV per atom